! PmGdCu4 | Alexandria via LeMat-Bulk | GGA-PBE | relaxed; values from VASP
! Space-group type   F-43m (216)
! Crystal system   cubic
! ΔH_f (0 K)   -0.12 eV/atom
&SYSTEM
  ibrav = 0, nat = 6, ntyp = 3
/
ATOMIC_SPECIES
Pm 145.00 Pm.upf
Gd 157.25 Gd.upf
Cu 63.55 Cu.upf
CELL_PARAMETERS angstrom
0.000 3.761 3.761
3.761 0.000 3.761
3.761 3.761 0.000
ATOMIC_POSITIONS crystal
Pm 0.000 0.000 0.000
Gd 0.750 0.750 0.750
Cu 0.375 0.375 0.375
Cu 0.375 0.375 0.874
Cu 0.375 0.874 0.375
Cu 0.874 0.375 0.375